Compound: TbBe2Pd2Au
Source: Alexandria
Functional: PBE-GGA
Structure: optimized geometry

Cell: 4.284 4.284 5.612 Å, 90.00 90.00 90.00°
Positions (direct):
Tb (0.000, 0.000, 0.500)
Pd (0.500, 0.500, 0.250)
Pd (0.500, 0.500, 0.750)
Au (0.000, 0.000, 0.000)
Be (0.500, 0.000, 0.000)
Be (0.000, 0.500, 0.000)

The total energy is -27.59 eV/cell. As for the density of states at the Fermi level: 0.52 states/eV per atom. The calculation puts the spin magnetization at 0.000 μB/atom. As for the energy of formation from the pure elements: -0.308 eV/atom. Its space group is P4/mmm.